Rb2SrMoF8 PBE+U optimized geometry; calculated volume = 18.5 Å³/atom; total DFT energy (no corrections) = -5.0966 eV/atom
1.0
4.3313 -0.2900 -0.0106
-0.2727 6.4662 0.0426
-0.0070 0.0710 7.9560
Rb F Mo Sr
2 8 1 1
direct
0.4929 0.5041 0.7547
0.5071 0.4959 0.2453
0.9113 0.1880 0.8058
0.0887 0.8120 0.1942
0.5064 0.7802 0.4943
0.9230 0.1832 0.2043
0.3957 0.1812 0.0042
0.6043 0.8188 0.9958
0.4936 0.2198 0.5057
0.0770 0.8168 0.7957
0.0000 0.0000 0.0000
0.0000 0.0000 0.5000